Record 1
Below is an optimized crystal structure of NpReGe, with properties calculated at the PBE level.

The structure belongs to space group F-43m (No. 216); the cell edges are 6.307, 6.307 and 6.307 Å and the angles 90.00°, 90.00° and 90.00°. Symmetry generates all atoms from Np at (0.000, 0.000, 0.000), Re at (0.250, 0.250, 0.250) and Ge at (0.000, 0.000, 0.500).

The value obtained for the raw total energy is -9.610 eV per atom. Its spin magnetization is 3.3 μB per formula unit. Its crystal system is cubic.


Record 2
Below is an optimized crystal structure of LaBeSiIr, with properties calculated at the PBE level.

The structure belongs to space group F-43m (No. 216); the cell edges are 6.458, 6.458 and 6.458 Å and the angles 90.00°, 90.00° and 90.00°. Symmetry generates all atoms from La at (0.000, 0.000, 0.000), Be at (0.250, 0.250, 0.750), Si at (0.250, 0.250, 0.250) and Ir at (0.000, 0.000, 0.500).

The energy relative to the lowest polymorph listed for this composition comes out at 0.0000 eV per atom. The value obtained for the raw total energy is -5.942 eV per atom. Its spin magnetization is 0.0 μB per formula unit. Its crystal system is cubic.


What is the formula in the first record? NpReGe